SrLiGaAu3 | GGA-PBE | optimized geometry

Cell lengths 6.2157, 6.7639, 7.0148 Å; angles 118.82, 90.00, 90.00 degrees
Sites, in units of the cell vectors:
Au 0.2500 0.1626 0.3252
Au 0.0000 0.7197 0.0000
Li 0.7500 0.0474 0.0948
Ga 0.7500 0.6289 0.2578
Au 0.0000 0.2803 0.0000
Au 0.5000 0.7197 0.0000
Au 0.5000 0.2803 0.0000
Li 0.2500 0.9526 0.9052
Sr 0.2500 0.7079 0.4157
Ga 0.2500 0.3711 0.7422
Au 0.7500 0.8374 0.6748
Sr 0.7500 0.2921 0.5843

Output
- Total magnetization: 0.0000 μB per atom
- Total energy: -3.20 eV/atom


Sr3LiGa2Au6 | GGA-PBE | optimized geometry

Cell lengths 6.3777, 6.3777, 8.5820 Å; angles 90.00, 90.00, 120.00 degrees
Sites, in units of the cell vectors:
Au 0.8291 0.1709 0.7049
Li 0.0000 0.0000 0.5000
Sr 0.6667 0.3333 0.3622
Au 0.6581 0.8291 0.2951
Au 0.8291 0.6581 0.7049
Sr 0.0000 0.0000 0.0000
Sr 0.3333 0.6667 0.6378
Au 0.3419 0.1709 0.7049
Au 0.1709 0.3419 0.2951
Ga 0.6667 0.3333 0.9330
Ga 0.3333 0.6667 0.0670
Au 0.1709 0.8291 0.2951

Output
- Total magnetization: 0.0000 μB per atom
- Total energy: -3.22 eV/atom


Sr2LiGa3Au4 | GGA-PBE | optimized geometry

Cell lengths 4.5480, 4.5480, 10.6845 Å; angles 90.00, 90.00, 90.00 degrees
Sites, in units of the cell vectors:
Ga 0.0000 0.5000 0.1274
Au 0.0000 0.0000 0.0000
Au 0.5000 0.0000 0.6298
Li 0.5000 0.5000 0.5000
Sr 0.5000 0.0000 0.2468
Au 0.0000 0.5000 0.3702
Ga 0.0000 0.0000 0.5000
Sr 0.0000 0.5000 0.7532
Au 0.5000 0.5000 0.0000
Ga 0.5000 0.0000 0.8726

Output
- Total magnetization: 0.0000 μB per atom
- Total energy: -3.36 eV/atom


SrLi2GaAu | GGA-PBE | optimized geometry

Cell lengths 5.0036, 5.0036, 4.9080 Å; angles 90.00, 90.00, 90.00 degrees
Sites, in units of the cell vectors:
Au 0.0000 0.0000 0.0000
Ga 0.0000 0.0000 0.5000
Sr 0.5000 0.5000 0.5000
Li 0.5000 0.0000 0.0000
Li 0.0000 0.5000 0.0000

Output
- Total magnetization: 0.0000 μB per atom
- Total energy: -2.67 eV/atom


SrLiGa2Au4 | GGA-PBE | optimized geometry

Cell lengths 4.5113, 4.5113, 9.4297 Å; angles 76.16, 76.16, 60.00 degrees
Sites, in units of the cell vectors:
Li 0.5000 0.5000 0.5000
Au 0.4045 0.4045 0.7864
Au 0.1360 0.1360 0.5920
Au 0.5955 0.5955 0.2136
Ga 0.2390 0.2390 0.2831
Sr 0.0000 0.0000 0.0000
Au 0.8640 0.8640 0.4080
Ga 0.7610 0.7610 0.7169

Output
- Total magnetization: 0.0000 μB per atom
- Total energy: -3.35 eV/atom


SrLiGa2Au5 | GGA-PBE | optimized geometry

Cell lengths 4.9293, 4.9293, 7.9853 Å; angles 90.00, 90.00, 90.00 degrees
Sites, in units of the cell vectors:
Sr 0.0000 0.0000 0.5000
Ga 0.5000 0.5000 0.1581
Au 0.5000 0.0000 0.7587
Li 0.0000 0.0000 0.0000
Au 0.5000 0.5000 0.5000
Au 0.0000 0.5000 0.2413
Au 0.0000 0.5000 0.7587
Ga 0.5000 0.5000 0.8419
Au 0.5000 0.0000 0.2413

Output
- Total magnetization: 0.0000 μB per atom
- Total energy: -3.26 eV/atom


SrLiGa4Au2 | GGA-PBE | optimized geometry

Cell lengths 4.4193, 4.4193, 10.0153 Å; angles 77.25, 77.25, 60.00 degrees
Sites, in units of the cell vectors:
Ga 0.4023 0.4023 0.7930
Ga 0.5977 0.5977 0.2070
Ga 0.8734 0.8734 0.3799
Sr 0.0000 0.0000 0.0000
Au 0.7743 0.7743 0.6770
Li 0.5000 0.5000 0.5000
Ga 0.1266 0.1266 0.6201
Au 0.2257 0.2257 0.3230

Output
- Total magnetization: 0.0000 μB per atom
- Total energy: -3.21 eV/atom


SrLiGa2Au2 | GGA-PBE | optimized geometry

Cell lengths 4.5445, 4.5445, 7.1517 Å; angles 90.00, 90.00, 120.00 degrees
Sites, in units of the cell vectors:
Au 0.6667 0.3333 0.3070
Ga 0.6667 0.3333 0.6846
Ga 0.3333 0.6667 0.3154
Au 0.3333 0.6667 0.6930
Sr 0.0000 0.0000 0.0000
Li 0.0000 0.0000 0.5000

Output
- Total magnetization: 0.0000 μB per atom
- Total energy: -3.31 eV/atom


SrLi2Ga2Au2 | GGA-PBE | optimized geometry

Cell lengths 4.5314, 4.5281, 8.3761 Å; angles 105.53, 90.00, 120.02 degrees
Sites, in units of the cell vectors:
Ga 0.5618 0.1236 0.6810
Li 0.1367 0.2734 0.4144
Au 0.2474 0.4949 0.7396
Li 0.8633 0.7266 0.5856
Au 0.7526 0.5051 0.2604
Ga 0.4382 0.8764 0.3190
Sr 0.0000 0.0000 0.0000

Output
- Total magnetization: 0.0000 μB per atom
- Total energy: -3.16 eV/atom


LiTbGa2Au5 | GGA-PBE | optimized geometry

Cell lengths 4.5299, 4.5299, 8.9484 Å; angles 90.00, 90.00, 90.00 degrees
Sites, in units of the cell vectors:
Au 0.0000 0.5000 0.7252
Ga 0.5000 0.5000 0.1367
Au 0.0000 0.5000 0.2748
Au 0.5000 0.5000 0.5000
Au 0.5000 0.0000 0.2748
Au 0.5000 0.0000 0.7252
Ga 0.5000 0.5000 0.8633
Tb 0.0000 0.0000 0.5000
Li 0.0000 0.0000 0.0000

Output
- Total magnetization: 0.0000 μB per atom
- Total energy: -3.65 eV/atom


LiTbGa4Au2 | GGA-PBE | optimized geometry

Cell lengths 4.4258, 4.4258, 8.9484 Å; angles 75.68, 75.68, 60.00 degrees
Sites, in units of the cell vectors:
Au 0.7652 0.7652 0.7044
Ga 0.8741 0.8741 0.3776
Ga 0.3922 0.3922 0.8233
Li 0.5000 0.5000 0.5000
Au 0.2348 0.2348 0.2956
Ga 0.1259 0.1259 0.6224
Tb 0.0000 0.0000 0.0000
Ga 0.6078 0.6078 0.1767

Output
- Total magnetization: 0.0000 μB per atom
- Total energy: -3.59 eV/atom


LiTb2Ga4Au3 | GGA-PBE | optimized geometry

Cell lengths 4.1584, 4.1584, 11.4046 Å; angles 90.00, 90.00, 90.00 degrees
Sites, in units of the cell vectors:
Ga 0.5000 0.0000 0.6364
Ga 0.5000 0.5000 0.0000
Tb 0.0000 0.5000 0.7504
Au 0.0000 0.0000 0.5000
Au 0.5000 0.0000 0.8577
Ga 0.0000 0.0000 0.0000
Tb 0.5000 0.0000 0.2496
Li 0.5000 0.5000 0.5000
Au 0.0000 0.5000 0.1423
Ga 0.0000 0.5000 0.3636

Output
- Total magnetization: 0.0000 μB per atom
- Total energy: -3.90 eV/atom


LiGa2Te4Au | GGA-PBE | optimized geometry

Cell lengths 6.1441, 6.1441, 7.8137 Å; angles 113.16, 113.16, 90.00 degrees
Sites, in units of the cell vectors:
Au 0.9997 0.9997 0.9994
Ga 0.7500 0.2500 0.5001
Te 0.1258 0.1258 0.7449
Te 0.8746 0.3807 0.2553
Te 0.6191 0.6191 0.7449
Li 0.5003 0.5003 0.0006
Te 0.3807 0.8746 0.2553
Ga 0.2500 0.7500 0.5001

Output
- Total magnetization: 0.0000 μB per atom
- Total energy: -3.39 eV/atom


LiTh2Ga4Au3 | GGA-PBE | optimized geometry

Cell lengths 4.3047, 4.3047, 10.9901 Å; angles 90.00, 90.00, 90.00 degrees
Sites, in units of the cell vectors:
Ga 0.5000 0.5000 0.0000
Ga 0.0000 0.0000 0.0000
Ga 0.0000 0.5000 0.3677
Au 0.0000 0.5000 0.1373
Th 0.0000 0.5000 0.7432
Au 0.5000 0.0000 0.8627
Th 0.5000 0.0000 0.2568
Li 0.5000 0.5000 0.5000
Au 0.0000 0.0000 0.5000
Ga 0.5000 0.0000 0.6323

Output
- Total magnetization: 0.0000 μB per atom
- Total energy: -4.43 eV/atom


LiThGa2Au5 | GGA-PBE | optimized geometry

Cell lengths 4.7860, 4.7860, 8.3408 Å; angles 90.00, 90.00, 90.00 degrees
Sites, in units of the cell vectors:
Au 0.5000 0.0000 0.2644
Ga 0.5000 0.5000 0.1492
Au 0.0000 0.5000 0.7356
Th 0.0000 0.0000 0.5000
Au 0.0000 0.5000 0.2644
Au 0.5000 0.5000 0.5000
Ga 0.5000 0.5000 0.8508
Au 0.5000 0.0000 0.7356
Li 0.0000 0.0000 0.0000

Output
- Total magnetization: 0.0000 μB per atom
- Total energy: -3.89 eV/atom


Li2ThGaAu4 | GGA-PBE | optimized geometry

Cell lengths 4.4903, 4.4903, 9.1240 Å; angles 75.75, 75.75, 60.00 degrees
Sites, in units of the cell vectors:
Au 0.1254 0.1254 0.6237
Au 0.3966 0.3966 0.8101
Ga 0.5000 0.5000 0.5000
Th 0.0000 0.0000 0.0000
Au 0.6034 0.6034 0.1899
Au 0.8746 0.8746 0.3763
Li 0.2333 0.2333 0.3000
Li 0.7667 0.7667 0.7000

Output
- Total magnetization: 0.0000 μB per atom
- Total energy: -3.96 eV/atom


LiTh2Ga3Au4 | GGA-PBE | optimized geometry

Cell lengths 4.4797, 4.4797, 10.1922 Å; angles 90.00, 90.00, 90.00 degrees
Sites, in units of the cell vectors:
Au 0.0000 0.5000 0.3800
Th 0.5000 0.0000 0.2438
Au 0.5000 0.5000 0.0000
Th 0.0000 0.5000 0.7562
Ga 0.0000 0.5000 0.1369
Ga 0.0000 0.0000 0.5000
Au 0.5000 0.0000 0.6200
Li 0.5000 0.5000 0.5000
Au 0.0000 0.0000 0.0000
Ga 0.5000 0.0000 0.8631

Output
- Total magnetization: 0.0000 μB per atom
- Total energy: -4.47 eV/atom


LiThGa4Au2 | GGA-PBE | optimized geometry

Cell lengths 4.4360, 4.4360, 9.1267 Å; angles 75.93, 75.93, 60.00 degrees
Sites, in units of the cell vectors:
Ga 0.3958 0.3958 0.8127
Ga 0.8717 0.8717 0.3849
Ga 0.6042 0.6042 0.1873
Au 0.2350 0.2350 0.2949
Li 0.5000 0.5000 0.5000
Ga 0.1283 0.1283 0.6151
Au 0.7650 0.7650 0.7051
Th 0.0000 0.0000 0.0000

Output
- Total magnetization: 0.0000 μB per atom
- Total energy: -3.92 eV/atom


LiTiGaAu | GGA-PBE | optimized geometry

Cell lengths 4.4739, 4.4739, 4.4739 Å; angles 60.00, 60.00, 60.00 degrees
Sites, in units of the cell vectors:
Ti 0.2500 0.2500 0.2500
Li 0.7500 0.7500 0.7500
Ga 0.5000 0.5000 0.5000
Au 0.0000 0.0000 0.0000

Output
- Total magnetization: 0.0000 μB per atom
- Total energy: -4.44 eV/atom


LiTlGa2Au | GGA-PBE | optimized geometry

Cell lengths 4.9455, 4.9455, 5.0144 Å; angles 90.00, 90.00, 90.00 degrees
Sites, in units of the cell vectors:
Ga 0.5000 0.0000 0.0000
Li 0.0000 0.0000 0.5000
Au 0.0000 0.0000 0.0000
Ga 0.0000 0.5000 0.0000
Tl 0.5000 0.5000 0.5000

Output
- Total magnetization: 0.0000 μB per atom
- Total energy: -2.79 eV/atom


LiTl2Ga2Au7 | GGA-PBE | optimized geometry

Cell lengths 4.2136, 4.2136, 14.6624 Å; angles 85.86, 85.86, 89.50 degrees
Sites, in units of the cell vectors:
Au 0.4266 0.4266 0.4156
Tl 0.0702 0.0702 0.6204
Au 0.0369 0.5349 0.8636
Tl 0.9298 0.9298 0.3796
Au 0.5349 0.0369 0.8636
Ga 0.4345 0.4345 0.2438
Au 0.4651 0.9631 0.1364
Au 0.5734 0.5734 0.5844
Li 0.0000 0.0000 0.0000
Au 0.9631 0.4651 0.1364
Au 0.5000 0.5000 0.0000
Ga 0.5655 0.5655 0.7562

Output
- Total magnetization: 0.0000 μB per atom
- Total energy: -3.14 eV/atom


Li2TmGaAu2 | GGA-PBE | optimized geometry

Cell lengths 4.4755, 4.4755, 6.2136 Å; angles 90.00, 90.00, 120.00 degrees
Sites, in units of the cell vectors:
Li 0.3333 0.6667 0.6739
Tm 0.0000 0.0000 0.0000
Au 0.3333 0.6667 0.2515
Ga 0.0000 0.0000 0.5000
Au 0.6667 0.3333 0.7485
Li 0.6667 0.3333 0.3261

Output
- Total magnetization: 0.0000 μB per atom
- Total energy: -3.56 eV/atom


Li2TmGaAu4 | GGA-PBE | optimized geometry

Cell lengths 4.5700, 4.5700, 8.3924 Å; angles 74.20, 74.20, 60.00 degrees
Sites, in units of the cell vectors:
Au 0.6109 0.6109 0.1673
Li 0.7557 0.7557 0.7328
Au 0.1267 0.1267 0.6198
Tm 0.0000 0.0000 0.0000
Au 0.3891 0.3891 0.8327
Au 0.8733 0.8733 0.3802
Ga 0.5000 0.5000 0.5000
Li 0.2443 0.2443 0.2672

Output
- Total magnetization: 0.0000 μB per atom
- Total energy: -3.63 eV/atom


Li2TmGa2Au2 | GGA-PBE | optimized geometry

Cell lengths 4.5241, 4.5360, 7.5337 Å; angles 106.92, 90.00, 119.91 degrees
Sites, in units of the cell vectors:
Ga 0.5799 0.1598 0.7362
Au 0.7358 0.4716 0.2111
Ga 0.4201 0.8402 0.2638
Tm 0.0000 0.0000 0.0000
Au 0.2642 0.5284 0.7889
Li 0.8599 0.7198 0.5746
Li 0.1401 0.2802 0.4254

Output
- Total magnetization: 0.0000 μB per atom
- Total energy: -3.59 eV/atom